[1]
VASP calculation (PBE) on an optimized crystal structure of MgTl4Cl.

Results
The space-group type is F-43m (216). For the density of states at the Fermi level, the calculation gives 2.80 states/eV per cell. The value obtained for the calculated total energy is -13.05 eV/cell. Its magnetization is 0.00 μB/f.u. For the energy relative to the elements, uncorrected, the calculation gives -0.023 eV per atom.

The structure in POSCAR format:
```
MgTl4Cl
1.0
-2.977 -5.719 -0.323
-6.259 -0.470 1.506
-4.359 -1.112 -4.629
Tl Mg Cl
4 1 1
Cartesian
-8.228 -2.973 -0.539
-5.099 -2.738 -1.292
-6.587 -5.597 -1.454
-7.278 -3.294 -3.606
0.000 0.000 0.000
-10.197 -5.476 -2.585
```

=====

[2]
VASP calculation (PBE) on an optimized crystal structure of ZnTcBi2Br.

Results
The space-group type is P4/mmm (123). For the density of states at the Fermi level, the calculation gives 2.77 states/eV per cell. The value obtained for the calculated total energy is -16.43 eV/cell. Its magnetization is 3.49 μB/f.u. For the energy relative to the elements, uncorrected, the calculation gives 0.928 eV per atom.

The structure in POSCAR format:
```
ZnTcBi2Br
1.0
-4.516 -2.567 -1.406
2.594 -2.647 -3.502
1.033 -3.817 3.650
Br Bi Tc Zn
1 2 1 1
Cartesian
-0.444 -4.515 -0.629
0.516 -1.909 1.825
-2.258 -1.283 -0.703
1.297 -1.323 -1.751
0.000 0.000 0.000
```

=====

[3]
VASP calculation (PBE) on an optimized crystal structure of LaMg2Tl4.

Results
The space-group type is P4/mmm (123). For the density of states at the Fermi level, the calculation gives 3.58 states/eV per cell. For the energy relative to the elements, the calculation gives -0.19 eV per atom. The value obtained for the calculated total energy is -18.88 eV/cell. Its magnetization is 0.00 μB/f.u.

The structure in POSCAR format:
```
LaMg2Tl4
1.0
-5.124 -0.173 -0.164
-0.035 -2.957 4.191
-0.348 6.172 4.352
La Tl Mg
1 4 2
Cartesian
-2.579 -1.565 2.013
-0.116 0.269 3.328
-0.267 2.945 5.215
-2.660 1.661 1.150
-2.811 4.338 3.037
-2.753 1.521 4.189
0.000 0.000 0.000
```

=====

[4]
VASP calculation (PBE) on an optimized crystal structure of NaSr2Au2.

Results
The space-group type is I4/mmm (139). For the density of states at the Fermi level, the calculation gives 2.56 states/eV per cell. For the energy relative to the elements, the calculation gives -0.45 eV per atom. The value obtained for the calculated total energy is -13.50 eV/cell. Its magnetization is 0.00 μB/f.u.

The structure in POSCAR format:
```
NaSr2Au2
1.0
-0.364 5.996 0.649
-4.388 -0.709 4.092
0.759 2.473 5.703
Sr Na Au
2 1 2
Cartesian
-0.990 5.556 4.361
-3.002 2.204 6.083
0.000 0.000 0.000
-2.552 5.167 7.079
-1.441 2.592 3.365
```

=====

[5]
VASP calculation (PBE) on an optimized crystal structure of Pm6PPt2Br3.

Results
The space-group type is C2/m (12). For the density of states at the Fermi level, the calculation gives 10.85 states/eV per cell. The value obtained for the calculated total energy is -66.38 eV/cell. Its magnetization is 0.00 μB/f.u. For the energy relative to the elements, uncorrected, the calculation gives -1.280 eV per atom.

The structure in POSCAR format:
```
Pm6PPt2Br3
1.0
7.330 0.001 0.002
-3.663 6.349 0.002
-1.221 -2.114 7.401
Pm P Br Pt
6 1 3 2
Cartesian
-1.237 2.159 1.495
0.024 0.042 5.915
-0.042 4.229 5.910
2.423 4.195 1.491
3.684 2.077 5.910
2.488 0.007 1.495
0.000 0.000 0.000
4.971 -0.046 3.703
1.223 2.118 3.703
-2.524 4.282 3.703
3.673 2.112 0.002
-0.006 4.238 0.002
```

=====

[6]
VASP calculation (PBE) on an optimized crystal structure of Pr8HIr3Br4.

Results
The space-group type is R-3m (166). For the density of states at the Fermi level, the calculation gives 8.63 states/eV per cell. The value obtained for the calculated total energy is -90.59 eV/cell. Its magnetization is 0.00 μB/f.u.

The structure in POSCAR format:
```
Pr8HIr3Br4
1.0
-6.305 0.840 5.297
-3.979 -7.466 -3.552
7.718 -0.886 2.860
Pr Br Ir H
8 4 3 1
Cartesian
-0.646 -5.412 0.089
3.202 -5.852 1.514
-1.920 -2.099 4.515
1.239 -2.508 1.872
-2.624 -2.078 0.448
0.058 -5.433 4.156
-3.805 -5.003 2.732
-5.768 -1.659 3.090
-3.152 0.420 2.648
3.859 -0.443 1.430
0.707 -0.023 4.078
0.000 0.000 0.000
1.869 -4.176 -0.346
-5.142 -3.313 0.872
-1.283 -3.756 2.302
-1.990 -3.733 -1.776
```

=====

[7]
VASP calculation (PBE) on an optimized crystal structure of BaLi2GaBr.

Results
The space-group type is P4/mmm (123). For the density of states at the Fermi level, the calculation gives 3.36 states/eV per cell. The value obtained for the calculated total energy is -9.22 eV/cell. Its magnetization is 0.00 μB/f.u. For the energy relative to the elements, uncorrected, the calculation gives 0.246 eV per atom.

The structure in POSCAR format:
```
BaLi2GaBr
1.0
-1.780 4.119 -5.138
-5.496 -2.405 -0.023
-2.076 4.700 4.487
Ga Li Br Ba
1 2 1 1
Cartesian
-4.676 3.207 -0.337
-1.038 2.350 2.243
-0.890 2.059 -2.569
-2.748 -1.202 -0.012
0.000 0.000 0.000
```

=====

[8]
VASP calculation (PBE) on an optimized crystal structure of La2TmCd.

Results
The space-group type is Fm-3m (225). For the density of states at the Fermi level, the calculation gives 4.83 states/eV per cell. For the energy relative to the elements, the calculation gives -0.08 eV per atom. The value obtained for the calculated total energy is -15.55 eV/cell. Its magnetization is 0.00 μB/f.u.

The structure in POSCAR format:
```
La2TmCd
1.0
5.629 0.000 0.000
2.814 4.875 0.000
2.814 1.625 4.596
La Tm Cd
2 1 1
Cartesian
2.814 1.625 1.149
8.443 4.875 3.447
5.629 3.250 2.298
0.000 0.000 0.000
```

=====

[9]
VASP calculation (PBE) on an optimized crystal structure of YNb.

Results
The space-group type is Fm-3m (225). For the density of states at the Fermi level, the calculation gives 12.05 states/eV per cell. For the energy relative to the elements, the calculation gives 1.30 eV per atom. The value obtained for the calculated total energy is -55.77 eV/cell. Its magnetization is 0.00 μB/f.u.

The structure in POSCAR format:
```
YNb
1.0
-2.327 4.992 -2.127
1.500 -1.632 -5.472
-5.215 -2.697 -0.625
Y Nb
4 4
Cartesian
-1.857 -2.165 -3.048
0.000 0.000 0.000
-3.771 1.147 -1.376
-0.414 1.680 -3.799
-1.164 2.496 -1.063
0.750 -0.816 -2.736
-2.607 -1.349 -0.312
-3.021 0.331 -4.112
```

=====

[10]
VASP calculation (PBE) on an optimized crystal structure of PrDyTm5Sc2.

Results
The space-group type is Cmc2_1 (36). For the density of states at the Fermi level, the calculation gives 26.27 states/eV per cell. For the energy relative to the elements, the calculation gives 0.17 eV per atom. The value obtained for the calculated total energy is -85.66 eV/cell. Its magnetization is 0.00 μB/f.u.

The structure in POSCAR format:
```
PrDyTm5Sc2
1.0
-2.769 -3.251 -3.548
9.837 1.565 -4.767
3.279 -7.493 4.307
Sc Tm Pr Dy
4 10 2 2
Cartesian
2.973 -2.443 -0.081
7.861 -7.849 -3.287
4.668 -5.208 1.130
5.304 -3.114 -5.630
-0.035 -3.492 -1.117
6.793 -0.393 -4.941
5.581 -2.543 -2.025
2.218 -5.731 -0.823
2.568 -3.303 -3.322
8.651 -5.587 -5.975
0.193 -0.156 -0.007
5.325 -7.911 -1.250
7.587 -5.438 -0.938
10.372 -5.666 -2.903
5.624 -5.541 -3.655
3.198 -0.153 -2.356
8.202 -3.183 -3.485
3.248 -8.517 0.926
```

=====

[11]
VASP calculation (PBE) on an optimized crystal structure of PuTlHgAu.

Results
The space-group type is F-43m (216). For the density of states at the Fermi level, the calculation gives 15.61 states/eV per cell. For the energy relative to the elements, the calculation gives -0.18 eV per atom. The value obtained for the calculated total energy is -20.98 eV/cell. Its magnetization is 5.66 μB/f.u.

The structure in POSCAR format:
```
PuTlHgAu
1.0
-0.124 3.586 -3.720
1.279 -1.259 -4.847
-3.640 -0.202 -3.664
Pu Tl Hg Au
1 1 1 1
Cartesian
-1.864 1.594 -9.173
-0.621 0.531 -3.058
-1.243 1.062 -6.115
0.000 0.000 0.000
```

=====

[12]
VASP calculation (PBE) on an optimized crystal structure of TmBi2TeO8.

Results
The space-group type is P2/m (10). For the density of states at the Fermi level, the calculation gives 3.14 states/eV per cell. The value obtained for the calculated total energy is -74.03 eV/cell. Its magnetization is 0.00 μB/f.u. For the energy relative to the elements, uncorrected, the calculation gives -1.582 eV per atom.

The structure in POSCAR format:
```
TmBi2TeO8
1.0
5.131 -0.020 -0.003
0.013 5.130 -0.006
0.004 0.008 6.825
O Bi Tm Te
8 2 1 1
Cartesian
1.386 1.372 6.823
3.761 3.745 -0.006
0.919 4.214 1.511
1.581 1.568 3.410
4.227 0.900 1.513
4.228 0.904 5.306
0.921 4.217 5.304
3.566 3.549 3.406
2.573 2.557 1.687
2.575 2.561 5.129
0.002 0.004 3.413
0.000 0.000 0.000
```